Record 1
## SmHoAu6 (PBE)

Data for a relaxed structure of SmHoAu6.

Geometry as CIF:
```
data_SmHoAu6
_chemical_formula_sum 'Sm1 Ho1 Au6'
_symmetry_space_group_name_H-M 'P 1'
_symmetry_Int_Tables_number 1
_symmetry_space_group_name_Hall 'P 1'
_cell_length_a 5.049
_cell_length_b 6.241
_cell_length_c 5.158
_cell_angle_alpha 90.00
_cell_angle_beta 90.00
_cell_angle_gamma 90.00
loop_
_atom_site_label
_atom_site_fract_x
_atom_site_fract_y
_atom_site_fract_z
Au1 0.500 0.237 0.663
Au2 0.000 0.250 0.339
Au3 0.000 0.750 0.339
Au4 0.000 0.500 0.825
Au5 0.500 0.000 0.166
Au6 0.500 0.763 0.663
Sm1 0.500 0.500 0.159
Ho1 0.000 0.000 0.846
```

Formation enthalpy at 0 K, meV per atom: -711
Volume, Å³/cell: 163

=====

Record 2
## SmHoAu2 (PBE)

Data for a relaxed structure of SmHoAu2.

Geometry as CIF:
```
data_SmHoAu2
_chemical_formula_sum 'Sm1 Ho1 Au2'
_symmetry_space_group_name_H-M 'P 1'
_symmetry_Int_Tables_number 1
_symmetry_space_group_name_Hall 'P 1'
_cell_length_a 4.684
_cell_length_b 5.821
_cell_length_c 5.821
_cell_angle_alpha 37.45
_cell_angle_beta 90.00
_cell_angle_gamma 90.00
loop_
_atom_site_label
_atom_site_fract_x
_atom_site_fract_y
_atom_site_fract_z
Ho1 0.500 0.360 0.360
Sm1 0.000 0.640 0.640
Au1 0.000 0.911 0.911
Au2 0.500 0.089 0.089
```

Formation enthalpy at 0 K, meV per atom: -859
Volume, Å³/cell: 97

=====

Record 3
## SmHoAu (PBE)

Data for a relaxed structure of SmHoAu.

Geometry as CIF:
```
data_SmHoAu
_chemical_formula_sum 'Sm4 Ho4 Au4'
_symmetry_space_group_name_H-M 'P 1'
_symmetry_Int_Tables_number 1
_symmetry_space_group_name_Hall 'P 1'
_cell_length_a 7.202
_cell_length_b 4.980
_cell_length_c 8.955
_cell_angle_alpha 90.00
_cell_angle_beta 90.00
_cell_angle_gamma 90.00
loop_
_atom_site_label
_atom_site_fract_x
_atom_site_fract_y
_atom_site_fract_z
Au1 0.750 0.750 0.098
Au2 0.750 0.250 0.598
Au3 0.250 0.750 0.402
Au4 0.250 0.250 0.902
Sm1 0.012 0.750 0.677
Sm2 0.512 0.750 0.823
Sm3 0.488 0.250 0.177
Sm4 0.988 0.250 0.323
Ho1 0.351 0.250 0.581
Ho2 0.851 0.250 0.919
Ho3 0.649 0.750 0.419
Ho4 0.149 0.750 0.081
```

Formation enthalpy at 0 K, meV per atom: -622
E above lowest polymorph, kcal/mol of atoms: 0.00
Volume, Å³/cell: 321

=====

Record 4
## HoSnAu (PBE)

Data for a relaxed structure of HoSnAu.

Geometry as CIF:
```
data_HoSnAu
_chemical_formula_sum 'Ho1 Sn1 Au1'
_symmetry_space_group_name_H-M 'P 1'
_symmetry_Int_Tables_number 1
_symmetry_space_group_name_Hall 'P 1'
_cell_length_a 4.735
_cell_length_b 4.735
_cell_length_c 4.735
_cell_angle_alpha 120.00
_cell_angle_beta 90.00
_cell_angle_gamma 120.00
loop_
_atom_site_label
_atom_site_fract_x
_atom_site_fract_y
_atom_site_fract_z
Ho1 0.500 0.000 0.500
Sn1 0.000 0.000 0.000
Au1 0.750 0.500 0.250
```

DFT total energy, eV/atom: -4.804
Volume, Å³/cell: 75

=====

Record 5
## Ho2SnAu2 (PBE)

Data for a relaxed structure of Ho2SnAu2.

Geometry as CIF:
```
data_Ho2SnAu2
_chemical_formula_sum 'Ho8 Sn4 Au8'
_symmetry_space_group_name_H-M 'P 1'
_symmetry_Int_Tables_number 1
_symmetry_space_group_name_Hall 'P 1'
_cell_length_a 7.880
_cell_length_b 7.880
_cell_length_c 7.508
_cell_angle_alpha 90.00
_cell_angle_beta 90.00
_cell_angle_gamma 90.00
loop_
_atom_site_label
_atom_site_fract_x
_atom_site_fract_y
_atom_site_fract_z
Au1 0.128 0.128 0.267
Au2 0.872 0.872 0.267
Au3 0.372 0.628 0.233
Au4 0.128 0.128 0.733
Au5 0.872 0.872 0.733
Au6 0.372 0.628 0.767
Au7 0.628 0.372 0.767
Au8 0.628 0.372 0.233
Ho1 0.678 0.678 0.000
Ho2 0.661 0.661 0.500
Ho3 0.339 0.339 0.500
Ho4 0.322 0.322 0.000
Ho5 0.161 0.839 0.000
Ho6 0.839 0.161 0.000
Ho7 0.178 0.822 0.500
Ho8 0.822 0.178 0.500
Sn1 0.500 0.000 0.750
Sn2 0.500 0.000 0.250
Sn3 0.000 0.500 0.750
Sn4 0.000 0.500 0.250
```

DFT total energy, eV/atom: -4.792
Volume, Å³/cell: 466

=====

Record 6
## HoSnAu (PBE)

Data for a relaxed structure of HoSnAu.

Geometry as CIF:
```
data_HoSnAu
_chemical_formula_sum 'Ho2 Sn2 Au2'
_symmetry_space_group_name_H-M 'P 1'
_symmetry_Int_Tables_number 1
_symmetry_space_group_name_Hall 'P 1'
_cell_length_a 4.712
_cell_length_b 4.712
_cell_length_c 7.322
_cell_angle_alpha 90.00
_cell_angle_beta 90.00
_cell_angle_gamma 120.00
loop_
_atom_site_label
_atom_site_fract_x
_atom_site_fract_y
_atom_site_fract_z
Sn1 0.333 0.667 0.750
Sn2 0.667 0.333 0.250
Au1 0.667 0.333 0.750
Au2 0.333 0.667 0.250
Ho1 0.000 0.000 0.500
Ho2 0.000 0.000 0.000
```

DFT total energy, eV/atom: -4.657
Volume, Å³/cell: 141

=====

Record 7
## HoSnTe3Au (PBE)

Data for a relaxed structure of HoSnTe3Au.

Geometry as CIF:
```
data_HoSnTe3Au
_chemical_formula_sum 'Ho2 Sn2 Te6 Au2'
_symmetry_space_group_name_H-M 'P 1'
_symmetry_Int_Tables_number 1
_symmetry_space_group_name_Hall 'P 1'
_cell_length_a 10.110
_cell_length_b 10.110
_cell_length_c 8.775
_cell_angle_alpha 100.67
_cell_angle_beta 100.67
_cell_angle_gamma 24.27
loop_
_atom_site_label
_atom_site_fract_x
_atom_site_fract_y
_atom_site_fract_z
Te1 0.322 0.322 0.150
Te2 0.310 0.310 0.648
Te3 0.500 0.500 0.500
Te4 0.690 0.690 0.352
Te5 0.000 0.000 0.000
Te6 0.678 0.678 0.850
Sn1 0.877 0.877 0.425
Sn2 0.123 0.123 0.575
Ho1 0.160 0.160 0.092
Ho2 0.840 0.840 0.908
Au1 0.446 0.446 0.786
Au2 0.554 0.554 0.214
```

E above lowest polymorph, kcal/mol of atoms: 0.66
Volume, Å³/cell: 362

=====

Record 8
## HoSnTe3Au (PBE)

Data for a relaxed structure of HoSnTe3Au.

Geometry as CIF:
```
data_HoSnTe3Au
_chemical_formula_sum 'Ho4 Sn4 Te12 Au4'
_symmetry_space_group_name_H-M 'P 1'
_symmetry_Int_Tables_number 1
_symmetry_space_group_name_Hall 'P 1'
_cell_length_a 11.124
_cell_length_b 4.280
_cell_length_c 14.709
_cell_angle_alpha 90.00
_cell_angle_beta 90.00
_cell_angle_gamma 90.00
loop_
_atom_site_label
_atom_site_fract_x
_atom_site_fract_y
_atom_site_fract_z
Au1 0.746 0.750 0.721
Au2 0.246 0.750 0.779
Au3 0.254 0.250 0.279
Au4 0.754 0.250 0.221
Te1 0.232 0.250 0.654
Te2 0.768 0.750 0.346
Te3 0.268 0.750 0.154
Te4 0.037 0.750 0.892
Te5 0.072 0.250 0.404
Te6 0.732 0.250 0.846
Te7 0.963 0.250 0.108
Te8 0.428 0.750 0.904
Te9 0.463 0.250 0.392
Te10 0.537 0.750 0.608
Te11 0.572 0.250 0.096
Te12 0.928 0.750 0.596
Ho1 0.022 0.750 0.257
Ho2 0.478 0.250 0.757
Ho3 0.978 0.250 0.743
Ho4 0.522 0.750 0.243
Sn1 0.280 0.750 0.479
Sn2 0.780 0.750 0.021
Sn3 0.220 0.250 0.979
Sn4 0.720 0.250 0.521
```

E above lowest polymorph, kcal/mol of atoms: 0.00
Volume, Å³/cell: 700

=====

Record 9
## HoSnTe3Au (PBE)

Data for a relaxed structure of HoSnTe3Au.

Geometry as CIF:
```
data_HoSnTe3Au
_chemical_formula_sum 'Ho4 Sn4 Te12 Au4'
_symmetry_space_group_name_H-M 'P 1'
_symmetry_Int_Tables_number 1
_symmetry_space_group_name_Hall 'P 1'
_cell_length_a 10.378
_cell_length_b 4.431
_cell_length_c 16.666
_cell_angle_alpha 90.00
_cell_angle_beta 90.00
_cell_angle_gamma 90.00
loop_
_atom_site_label
_atom_site_fract_x
_atom_site_fract_y
_atom_site_fract_z
Sn1 0.162 0.750 0.218
Sn2 0.838 0.250 0.782
Sn3 0.338 0.250 0.718
Sn4 0.662 0.750 0.282
Au1 0.879 0.250 0.409
Au2 0.621 0.750 0.909
Au3 0.379 0.250 0.091
Au4 0.121 0.750 0.591
Te1 0.635 0.250 0.465
Te2 0.473 0.250 0.880
Te3 0.818 0.250 0.205
Te4 0.318 0.250 0.295
Te5 0.527 0.750 0.120
Te6 0.973 0.250 0.620
Te7 0.027 0.750 0.380
Te8 0.682 0.750 0.705
Te9 0.182 0.750 0.795
Te10 0.865 0.750 0.965
Te11 0.365 0.750 0.535
Te12 0.135 0.250 0.035
Ho1 0.302 0.750 0.965
Ho2 0.802 0.750 0.535
Ho3 0.698 0.250 0.035
Ho4 0.198 0.250 0.465
```

E above lowest polymorph, kcal/mol of atoms: 0.66
Volume, Å³/cell: 766

=====

Record 10
## HoSnTe3Au (PBE)

Data for a relaxed structure of HoSnTe3Au.

Geometry as CIF:
```
data_HoSnTe3Au
_chemical_formula_sum 'Ho2 Sn2 Te6 Au2'
_symmetry_space_group_name_H-M 'P 1'
_symmetry_Int_Tables_number 1
_symmetry_space_group_name_Hall 'P 1'
_cell_length_a 7.708
_cell_length_b 7.708
_cell_length_c 11.061
_cell_angle_alpha 90.00
_cell_angle_beta 90.00
_cell_angle_gamma 32.15
loop_
_atom_site_label
_atom_site_fract_x
_atom_site_fract_y
_atom_site_fract_z
Ho1 0.000 0.000 0.500
Ho2 0.000 0.000 0.000
Te1 0.648 0.648 0.553
Te2 0.096 0.096 0.250
Te3 0.352 0.352 0.447
Te4 0.648 0.648 0.947
Te5 0.352 0.352 0.053
Te6 0.904 0.904 0.750
Au1 0.471 0.471 0.250
Au2 0.529 0.529 0.750
Sn1 0.222 0.222 0.750
Sn2 0.778 0.778 0.250
```

E above lowest polymorph, kcal/mol of atoms: 0.03
Volume, Å³/cell: 350

=====

Which of these has the highest volume? number 9